1.
Below is a relaxed Tm5In3 crystal, with properties calculated at the PBE-GGA level.

Total moment   0.00 Bohr magnetons per cell
E   -4.137 eV/atom
E_form   -0.3159 eV per atom

Lattice parameters (Å, degrees): 8.1893 10.5100 5.0520 90.00 90.00 90.00
Last column: nearest neighbours and their distance in Å.
Fractional coordinates of all 16 atoms:
Tm 0.0000 0.0000 0.0000  8 Tm 3.33-3.44, 4 In 3.35
Tm 0.2145 0.5000 0.5000  4 In 3.08-3.21, 2 Tm 3.44
Tm 0.2500 0.2500 0.0000  6 In 3.28-3.33, 6 Tm 3.33-3.66
Tm 0.2500 0.7500 0.0000  6 In 3.28-3.33, 6 Tm 3.33-3.66
Tm 0.2855 0.0000 0.5000  4 In 3.08-3.21, 2 Tm 3.44
Tm 0.5000 0.5000 0.0000  8 Tm 3.33-3.44, 4 In 3.35
Tm 0.7145 0.0000 0.5000  4 In 3.08-3.21, 2 Tm 3.44
Tm 0.7500 0.2500 0.0000  6 In 3.28-3.33, 6 Tm 3.33-3.66
Tm 0.7500 0.7500 0.0000  6 In 3.28-3.33, 6 Tm 3.33-3.66
Tm 0.7855 0.5000 0.5000  4 In 3.08-3.21, 2 Tm 3.44
In 0.0000 0.2094 0.5000  10 Tm 3.21-3.52
In 0.0000 0.5000 0.0000  8 Tm 3.08-3.33
In 0.0000 0.7906 0.5000  10 Tm 3.21-3.52
In 0.5000 0.0000 0.0000  8 Tm 3.08-3.33
In 0.5000 0.2906 0.5000  10 Tm 3.21-3.52
In 0.5000 0.7094 0.5000  10 Tm 3.21-3.52


2.
Below is a relaxed CsK2GaPt crystal, with properties calculated at the PBE-GGA level.

Total moment   0.00 Bohr magnetons per cell
E   -2.536 eV/atom
E_form   -0.1123 eV per atom

Lattice parameters (Å, degrees): 6.4336 6.4336 4.9259 90.00 90.00 90.00
Last column: nearest neighbours and their distance in Å.
Fractional coordinates of all 5 atoms:
Cs 0.0000 0.0000 0.0000  8 K 4.05
K 0.0000 0.5000 0.5000  2 Pt 3.22
K 0.5000 0.0000 0.5000  2 Pt 3.22
Ga 0.5000 0.5000 0.0000  2 Pt 2.46
Pt 0.5000 0.5000 0.5000  2 Ga 2.46


3.
Below is a relaxed Er3Al3Zn2 crystal, with properties calculated at the PBE-GGA level.

Total moment   0.00 Bohr magnetons per cell
E   -3.858 eV/atom
E_form   -0.4255 eV per atom

Lattice parameters (Å, degrees): 5.7038 5.7038 14.6224 90.00 90.00 134.50
Last column: nearest neighbours and their distance in Å.
Fractional coordinates of all 16 atoms:
Er 0.0877 0.9123 0.6111  7 Al 3.08-3.30, 4 Zn 3.09-3.35
Er 0.0877 0.9123 0.8889  7 Al 3.08-3.30, 4 Zn 3.09-3.35
Er 0.3603 0.6397 0.7500  5 Al 3.08-3.10, 4 Zn 3.18
Er 0.6397 0.3603 0.2500  5 Al 3.08-3.10, 4 Zn 3.18
Er 0.9123 0.0877 0.1111  7 Al 3.08-3.30, 4 Zn 3.09-3.35
Er 0.9123 0.0877 0.3889  7 Al 3.08-3.30, 4 Zn 3.09-3.35
Al 0.3470 0.6530 0.2500  2 Zn 2.63
Al 0.3849 0.6151 0.5391  3 Zn 2.57-2.78, 1 Al 2.68
Al 0.3849 0.6151 0.9609  3 Zn 2.57-2.78, 1 Al 2.68
Al 0.6151 0.3849 0.0391  3 Zn 2.57-2.78, 1 Al 2.68
Al 0.6151 0.3849 0.4609  3 Zn 2.57-2.78, 1 Al 2.68
Al 0.6530 0.3470 0.7500  2 Zn 2.63
Zn 0.2069 0.7931 0.1013  4 Al 2.57-2.78
Zn 0.2069 0.7931 0.3987  4 Al 2.57-2.78
Zn 0.7931 0.2069 0.6013  4 Al 2.57-2.78
Zn 0.7931 0.2069 0.8987  4 Al 2.57-2.78


4.
Below is a relaxed ReIrBr2 crystal, with properties calculated at the PBE-GGA level.

Total moment   0.00 Bohr magnetons per cell
E   -5.726 eV/atom

Lattice parameters (Å, degrees): 3.0475 3.0475 8.9192 90.00 90.00 90.00
Last column: nearest neighbours and their distance in Å.
Fractional coordinates of all 4 atoms:
Re 0.0000 0.0000 0.0000  4 Ir 2.62, 4 Br 2.84
Ir 0.5000 0.5000 0.8332  4 Re 2.62
Br 0.0000 0.0000 0.6066  4 Ir 2.95, 4 Br 3.05
Br 0.5000 0.5000 0.2079  4 Re 2.84, 4 Br 3.05


5.
Below is a relaxed NdLuCuRh crystal, with properties calculated at the PBE-GGA level.

Total moment   0.00 Bohr magnetons per cell
E   -5.691 eV/atom
E_form   -0.5067 eV per atom

Lattice parameters (Å, degrees): 6.9543 6.9543 6.9543 90.00 90.00 90.00
Last column: nearest neighbours and their distance in Å.
Fractional coordinates of all 16 atoms:
Nd 0.0000 0.0000 0.0000  4 Cu 3.01, 4 Rh 3.01
Nd 0.0000 0.5000 0.5000  4 Cu 3.01, 4 Rh 3.01
Nd 0.5000 0.0000 0.5000  4 Cu 3.01, 4 Rh 3.01
Nd 0.5000 0.5000 0.0000  4 Cu 3.01, 4 Rh 3.01
Lu 0.0000 0.0000 0.5000  4 Cu 3.01, 4 Rh 3.01
Lu 0.0000 0.5000 0.0000  4 Cu 3.01, 4 Rh 3.01
Lu 0.5000 0.0000 0.0000  4 Cu 3.01, 4 Rh 3.01
Lu 0.5000 0.5000 0.5000  4 Cu 3.01, 4 Rh 3.01
Cu 0.2500 0.2500 0.2500  4 Nd 3.01, 4 Lu 3.01
Cu 0.2500 0.7500 0.7500  4 Nd 3.01, 4 Lu 3.01
Cu 0.7500 0.2500 0.7500  4 Nd 3.01, 4 Lu 3.01
Cu 0.7500 0.7500 0.2500  4 Nd 3.01, 4 Lu 3.01
Rh 0.2500 0.2500 0.7500  4 Nd 3.01, 4 Lu 3.01
Rh 0.2500 0.7500 0.2500  4 Nd 3.01, 4 Lu 3.01
Rh 0.7500 0.2500 0.2500  4 Nd 3.01, 4 Lu 3.01
Rh 0.7500 0.7500 0.7500  4 Nd 3.01, 4 Lu 3.01


6.
Below is a relaxed Sc4Tc crystal, with properties calculated at the PBE-GGA level.

Total moment   0.00 Bohr magnetons per cell
E   -6.995 eV/atom
E_form   0.1437 eV per atom

Lattice parameters (Å, degrees): 5.0152 5.0152 5.0152 90.00 90.00 90.00
Last column: nearest neighbours and their distance in Å.
Fractional coordinates of all 5 atoms:
Sc 0.0000 0.0000 0.0000  12 Sc 3.55
Sc 0.0000 0.5000 0.5000  2 Tc 2.51
Sc 0.5000 0.0000 0.5000  2 Tc 2.51
Sc 0.5000 0.5000 0.0000  2 Tc 2.51
Tc 0.5000 0.5000 0.5000  6 Sc 2.51